Entry from Alexandria: a geometry-optimized Er2PuSc3Se6 structure (PBE-GGA).

Cell and atoms, written as CIF:
```
data_Er2PuSc3Se6
_symmetry_space_group_name_H-M 'C 1 2/m 1'
_symmetry_Int_Tables_number 12
_cell_length_a 17.3368
_cell_length_b 3.9528
_cell_length_c 7.9749
_cell_angle_alpha 90.00
_cell_angle_beta 103.40
_cell_angle_gamma 90.00
loop_
_symmetry_equiv_pos_as_xyz
'x,y,z'
'-x,-y,-z'
'-x,y,-z'
'x,-y,z'
'x+1/2,y+1/2,z'
'-x+1/2,-y+1/2,-z'
'-x+1/2,y+1/2,-z'
'x+1/2,-y+1/2,z'
loop_
_atom_site_label
_atom_site_type_symbol
_atom_site_fract_x
_atom_site_fract_y
_atom_site_fract_z
Er1 Er 0.1633 0.0000 0.3290
Pu1 Pu 0.0000 0.5000 0.0000
Sc1 Sc 0.0000 0.5000 0.5000
Sc2 Sc 0.1638 0.0000 0.8377
Se1 Se 0.0030 0.0000 0.7375
Se2 Se 0.1659 0.5000 0.5908
Se3 Se 0.1726 0.5000 0.0801
```

volume = 22.15 A^3/atom
calculated total energy = -165.9 eV/cell
crystal system = monoclinic
energy relative to the elements, uncorrected = -1.63 eV per atom